(1)
VASP calculation (GGA-PBE) on LaBi2SbO8 after structural relaxation.

Output
* E_form (uncorrected): -1.6133 eV per atom
* total moment: 0.00 μB/f.u.

Lattice parameters (Å, degrees): 7.1540 7.2780 7.1155 90.00 90.00 90.00
Last column: nearest neighbours and their distance in Å.
Space group Cmmm (No. 65)
Inequivalent atoms, fractional coordinates:
La1 0.0000 0.0000 0.0000  6 O 2.36-2.44
Bi1 0.0000 0.5000 0.2589  6 O 2.25-2.32
Sb1 0.0000 0.0000 0.5000  6 O 2.01-2.08
O1 0.0000 0.2860 0.5000  1 Sb 2.08, 2 Bi 2.32
O2 0.0000 0.3237 0.0000  2 Bi 2.25, 1 La 2.36
O3 0.1855 0.0000 0.2869  1 Sb 2.01

(2)
VASP calculation (GGA-PBE) on La2ScBiO6 after structural relaxation.

Output
* E_form (uncorrected): -2.7456 eV per atom
* total moment: 0.00 μB/f.u.

Lattice parameters (Å, degrees): 5.5761 5.5761 5.4938 90.00 90.00 90.00
Last column: nearest neighbours and their distance in Å.
Space group P4mm (No. 99)
Inequivalent atoms, fractional coordinates:
La1 0.0000 0.5000 0.0000  4 O 2.40
Sc1 0.0000 0.0000 0.5962  5 O 1.98-2.08
Bi1 0.5000 0.5000 0.5679  5 O 2.28-2.29
O1 0.0000 0.0000 0.2365  1 Sc 1.98
O2 0.2399 0.2399 0.7523  1 Sc 2.08, 1 Bi 2.29
O3 0.5000 0.5000 0.1533  1 Bi 2.28

(3)
VASP calculation (GGA-PBE) on LaBi2SeO after structural relaxation.

Output
* E_form (uncorrected): 0.7574 eV per atom
* total moment: 0.00 μB/f.u.

Lattice parameters (Å, degrees): 6.3167 6.3167 5.5349 90.00 90.00 90.00
Last column: nearest neighbours and their distance in Å.
Space group P4/mmm (No. 123)
Inequivalent atoms, fractional coordinates:
La1 0.0000 0.0000 0.0000  2 Se 2.77
Bi1 0.0000 0.5000 0.0000  2 La 3.16
Se1 0.0000 0.0000 0.5000  2 La 2.77
O1 0.5000 0.5000 0.5000  8 Bi 4.20, 4 Se 4.47

(4)
VASP calculation (GGA-PBE) on LaBiSeO2 after structural relaxation.

Output
* E_form (uncorrected): -2.0316 eV per atom
* total moment: 0.00 μB/f.u.

Lattice parameters (Å, degrees): 6.8658 4.1317 7.9272 90.00 106.95 90.00
Last column: nearest neighbours and their distance in Å.
Space group P2_1/m (No. 11)
Inequivalent atoms, fractional coordinates:
La1 0.1853 0.2500 0.4153  4 O 2.39-2.41
Bi1 0.1912 0.2500 0.9346  4 O 2.31-2.38
Se1 0.4434 0.7500 0.2423  3 La 3.14-3.27, 3 Bi 3.21-3.28, 2 O 3.41-3.50
O1 0.0033 0.2500 0.6298  1 Bi 2.38, 3 La 2.39-2.41
O2 0.0212 0.7500 0.8863  3 Bi 2.31-2.35, 1 La 2.40

(5)
VASP calculation (GGA-PBE) on LaSmBiO2 after structural relaxation.

Output
* E_form (uncorrected): -2.6459 eV per atom
* total moment: 0.00 μB/f.u.

Lattice parameters (Å, degrees): 4.0315 4.0315 14.0973 90.00 90.00 90.00
Last column: nearest neighbours and their distance in Å.
Space group I4mm (No. 107)
Inequivalent atoms, fractional coordinates:
La1 0.0000 0.0000 0.0000  4 O 2.36
Sm1 0.0000 0.0000 0.6681  4 O 2.32
Bi1 0.0000 0.0000 0.3305  4 Sm 3.66, 4 La 3.72, 4 O 3.98, 4 Bi 4.03
O1 0.0000 0.5000 0.0873  2 Sm 2.32, 2 La 2.36

(6)
VASP calculation (GGA-PBE) on LaSnBi2O8 after structural relaxation.

Output
* E_form (uncorrected): -1.5804 eV per atom
* total moment: 0.00 μB/f.u.

Lattice parameters (Å, degrees): 7.0705 7.3366 7.0801 90.00 90.00 90.00
Last column: nearest neighbours and their distance in Å.
Space group Cmmm (No. 65)
Inequivalent atoms, fractional coordinates:
La1 0.0000 0.0000 0.0000  6 O 2.38-2.39
Sn1 0.0000 0.0000 0.5000  6 O 2.08-2.19
Bi1 0.0000 0.5000 0.2593  6 O 2.18-2.25
O1 0.0000 0.2990 0.5000  1 Sn 2.19, 2 Bi 2.25
O2 0.0000 0.3244 0.0000  2 Bi 2.24, 1 La 2.38
O3 0.1924 0.0000 0.2778  1 Sn 2.08, 1 Bi 2.18